CsLa2FeN: relaxed, PBE.

Cell lengths 5.078, 5.225, 5.078 Å; angles 90.00, 90.00, 90.00 degrees
Fractional positions:
La  0.000  0.000  0.500
La  0.500  0.000  0.000
Fe  0.000  0.000  0.000
Cs  0.000  0.500  0.000
N  0.500  0.500  0.500

Calculated values
- Spin magnetization: 0.00 μB/atom
- ΔE_f (raw): 0.9998 eV/atom
- DFT total energy: -4.4995 eV per atom
- Calculated density: 5.92 g cm⁻³